(1)
Below is a relaxed structure of Ce2Tl2C, with properties calculated at the PBE level.

```
Ce2Tl2C
1.0
3.5163 0.0000 0.5520
1.7148 3.0698 0.5520
0.0013 0.0008 11.4680
Tl C Ce
2 1 2
Direct
0.8728 0.8728 0.3815 Tl
0.1272 0.1272 0.6185 Tl
0.0000 0.0000 0.0000 C
0.6245 0.6245 0.1265 Ce
0.3755 0.3755 0.8735 Ce
```

Values from the calculation:
SG ... No. 166
Energy of formation from the pure elements ... -0.200 eV per atom
Total DFT energy (no corrections) ... -5.365 eV/atom

(2)
Below is a relaxed structure of SrSi2NiPt, with properties calculated at the PBE level.

```
SrSi2NiPt
1.0
4.1965 0.0000 0.0000
0.0000 4.1965 0.0000
-2.0983 -2.0983 5.0663
Ni Si Sr Pt
1 2 1 1
Direct
0.7500 0.2500 0.5000 Ni
0.6309 0.6309 0.2619 Si
0.3691 0.3691 0.7381 Si
0.0000 0.0000 0.0000 Sr
0.2500 0.7500 0.5000 Pt
```

Values from the calculation:
SG ... No. 119
Formation energy from raw total energies ... -69.5 kJ/mol of atoms
Total DFT energy (no corrections) ... -5.591 eV/atom

(3)
Below is a relaxed structure of Nd5Tl2Ir, with properties calculated at the PBE level.

```
Nd5Tl2Ir
1.0
4.8365 0.0000 0.0000
0.0000 8.0568 0.0000
0.0000 0.0000 12.5149
Nd Tl Ir
10 4 2
Direct
0.0000 0.1372 0.7964 Nd
0.0000 0.8628 0.2036 Nd
0.5000 0.6828 0.4289 Nd
0.0000 0.6372 0.7036 Nd
0.5000 0.3172 0.5711 Nd
0.5000 0.8172 0.9289 Nd
0.0000 0.3628 0.2964 Nd
0.5000 0.1828 0.0711 Nd
0.0000 0.0000 0.5000 Nd
0.0000 0.5000 0.0000 Nd
0.5000 0.4236 0.8314 Tl
0.5000 0.5764 0.1686 Tl
0.5000 0.0764 0.3314 Tl
0.5000 0.9236 0.6686 Tl
0.0000 0.0000 0.0000 Ir
0.0000 0.5000 0.5000 Ir
```

Values from the calculation:
SG ... No. 55
E above lowest polymorph ... 0 meV per atom
Energy of formation from the pure elements ... -0.434 eV per atom
Total DFT energy (no corrections) ... -5.113 eV/atom

(4)
Below is a relaxed structure of HfTl2Rh, with properties calculated at the PBE level.

```
HfTl2Rh
1.0
7.8359 0.0000 0.0000
0.0000 7.8359 0.0000
3.9180 3.9180 2.9042
Hf Rh Tl
2 2 4
Direct
0.7500 0.2500 0.5000 Hf
0.0000 0.0000 0.0000 Hf
0.2500 0.7500 0.5000 Rh
0.5000 0.5000 0.0000 Rh
0.8750 0.8479 0.7500 Tl
0.1521 0.6250 0.2500 Tl
0.5979 0.1250 0.2500 Tl
0.3750 0.4021 0.7500 Tl
```

Values from the calculation:
SG ... No. 122
E above lowest polymorph ... 117 meV per atom
Energy of formation from the pure elements ... 0.277 eV per atom
Total DFT energy (no corrections) ... -5.233 eV/atom

(5)
Below is a relaxed structure of NaSiP2S, with properties calculated at the PBE level.

```
NaSiP2S
1.0
4.8295 0.0000 0.0000
0.0000 4.8295 0.0000
0.0000 0.0000 4.8445
P Na S Si
2 1 1 1
Direct
0.5000 0.0000 0.0000 P
0.0000 0.5000 0.0000 P
0.0000 0.0000 0.0000 Na
0.0000 0.0000 0.5000 S
0.5000 0.5000 0.5000 Si
```

Values from the calculation:
SG ... No. 123
E above lowest polymorph ... 1214 meV per atom
Formation energy from raw total energies ... 145.2 kJ/mol of atoms
Total DFT energy (no corrections) ... -2.833 eV/atom

(6)
Below is a relaxed structure of Pm3AuS2, with properties calculated at the PBE level.

```
Pm3AuS2
1.0
-1.6112 -3.1071 2.6055
1.8204 -3.0306 -6.1419
9.8581 -1.8828 3.8509
S Pm Au
4 6 2
Direct
0.5104 0.0208 0.2500 S
0.0000 0.0000 0.5000 S
0.4896 0.9792 0.7500 S
0.0000 0.0000 0.0000 S
0.3600 0.7201 0.9410 Pm
0.3600 0.7201 0.5590 Pm
0.6400 0.2799 0.4410 Pm
0.8971 0.7942 0.2500 Pm
0.6400 0.2799 0.0590 Pm
0.1029 0.2058 0.7500 Pm
0.2409 0.4818 0.2500 Au
0.7591 0.5182 0.7500 Au
```

Values from the calculation:
SG ... No. 63
Formation energy from raw total energies ... -127.2 kJ/mol of atoms
Total DFT energy (no corrections) ... -5.616 eV/atom

(7)
Below is a relaxed structure of SrLiIr2, with properties calculated at the PBE level.

```
SrLiIr2
1.0
-2.5854 -1.1427 1.1721
2.4412 -3.6090 1.8665
0.6983 2.5592 4.0350
Sr Li Ir
1 1 2
Direct
0.0000 0.5000 0.5000 Sr
0.5000 0.0000 0.5000 Li
0.0000 0.0000 0.0000 Ir
0.5000 0.5000 0.0000 Ir
```

Values from the calculation:
SG ... No. 47
E above lowest polymorph ... 137 meV per atom
Energy of formation from the pure elements ... 0.216 eV per atom
Total DFT energy (no corrections) ... -5.114 eV/atom

(8)
Below is a relaxed structure of Sm2LuNi, with properties calculated at the PBE level.

```
Sm2LuNi
1.0
3.5299 0.0000 0.0000
0.0000 3.5299 0.0000
0.0000 0.0000 8.4520
Ni Sm Lu
1 2 1
Direct
0.5000 0.5000 0.0000 Ni
0.0000 0.0000 0.8052 Sm
0.0000 0.0000 0.1948 Sm
0.5000 0.5000 0.5000 Lu
```

Values from the calculation:
SG ... No. 123
Energy of formation from the pure elements ... -0.089 eV per atom
Total DFT energy (no corrections) ... -5.024 eV/atom

Look up the total DFT energy (no corrections) of the second one.
-5.591 eV/atom

Which value of total DFT energy (no corrections) does entry 6 give?
-5.616 eV/atom

The highest total DFT energy (no corrections) belongs to which entry?
NaSiP2S